## Hg2SbPt (meta-GGA SCAN)

Data for Hg2SbPt at its PBEsol-relaxed geometry.

## Properties
The total magnetization comes out at 0.00 μB per formula unit. As for the volume: 21.06 Å³/atom. The uncorrected formation energy comes out at 1.14 eV/f.u.

Cell and atoms, written as POSCAR:
```
Hg2SbPt
1.0
-2.434 1.689 -1.161
-2.395 0.859 1.910
3.021 8.994 2.391
Hg Pt Sb
2 1 1
Direct
0.760 0.760 0.720 Hg
0.240 0.240 0.280 Hg
0.500 0.500 0.500 Pt
0.000 0.000 0.000 Sb
```

---

## Li6Ca3MnC6O18F2 (meta-GGA SCAN)

Data for Li6Ca3MnC6O18F2 at its PBEsol-relaxed geometry.

## Properties
The total magnetization comes out at 5.00 μB per formula unit. As for the volume: 10.60 Å³/atom. The uncorrected formation energy comes out at -81.34 eV/f.u.

Cell and atoms, written as POSCAR:
```
Li6Ca3MnC6O18F2
1.0
-5.970 -2.732 -0.258
-0.586 -3.648 6.722
-3.533 4.518 6.522
O Li Ca C F Mn
18 6 3 6 2 1
Direct
0.003 0.837 0.858 O
0.503 0.511 0.017 O
0.379 0.281 0.688 O
0.896 0.964 0.305 O
0.267 0.201 0.242 O
0.498 0.717 0.136 O
0.467 0.900 0.380 O
0.008 0.511 0.011 O
0.740 0.483 0.746 O
0.274 0.588 0.668 O
0.490 0.835 0.848 O
0.753 0.243 0.331 O
0.765 0.949 0.563 O
0.723 0.532 0.473 O
0.253 0.529 0.438 O
0.913 0.251 0.660 O
0.221 0.028 0.524 O
0.978 0.704 0.146 O
0.698 0.037 0.778 Li
0.053 0.812 0.647 Li
0.157 0.834 0.211 Li
0.175 0.059 0.785 Li
0.541 0.467 0.342 Li
0.679 0.848 0.210 Li
0.336 0.320 0.949 Ca
0.030 0.378 0.365 Ca
0.829 0.274 0.041 Ca
0.804 0.050 0.401 C
0.996 0.687 0.003 C
0.792 0.421 0.627 C
0.302 0.465 0.596 C
0.319 0.043 0.380 C
0.497 0.688 0.001 C
0.137 0.099 0.994 F
0.639 0.097 0.996 F
0.535 0.755 0.642 Mn
```

---

## InReSe3 (meta-GGA SCAN)

Data for InReSe3 at its PBEsol-relaxed geometry.

## Properties
The total magnetization comes out at 3.95 μB per formula unit. As for the volume: 26.75 Å³/atom. The uncorrected formation energy comes out at 7.21 eV/f.u.

Cell and atoms, written as POSCAR:
```
InReSe3
1.0
5.114 0.000 0.000
0.000 5.114 0.000
0.000 0.000 5.114
Se In Re
3 1 1
Direct
0.500 0.000 0.000 Se
0.000 0.500 0.000 Se
0.000 0.000 0.500 Se
0.000 0.000 0.000 In
0.500 0.500 0.500 Re
```

---

## Mg5Zn (meta-GGA SCAN)

Data for Mg5Zn at its PBEsol-relaxed geometry.

## Properties
The total magnetization comes out at 0.00 μB per formula unit. The calculated formation energy comes out at -0.029 eV per atom. As for the volume: 20.84 Å³/atom.

Cell and atoms, written as POSCAR:
```
Mg5Zn
1.0
3.153 0.000 0.000
0.000 3.153 0.000
0.000 0.000 12.578
Mg Zn
5 1
Direct
0.000 0.000 0.361 Mg
0.500 0.500 0.179 Mg
0.000 0.000 0.000 Mg
0.000 0.000 0.639 Mg
0.500 0.500 0.821 Mg
0.500 0.500 0.500 Zn
```

---

## Cs3MnBi (meta-GGA SCAN)

Data for Cs3MnBi at its PBEsol-relaxed geometry.

## Properties
The total magnetization comes out at 5.33 μB per formula unit. The calculated formation energy comes out at 0.322 eV per atom. As for the volume: 80.83 Å³/atom.

Cell and atoms, written as POSCAR:
```
Cs3MnBi
1.0
7.394 0.000 0.000
0.000 7.394 0.000
0.000 0.000 7.394
Bi Cs Mn
1 3 1
Direct
0.000 0.000 0.000 Bi
0.000 0.000 0.500 Cs
0.500 0.000 0.000 Cs
0.000 0.500 0.000 Cs
0.500 0.500 0.500 Mn
```

---

## BeAlFe2 (meta-GGA SCAN)

Data for BeAlFe2 at its PBEsol-relaxed geometry.

## Properties
The total magnetization comes out at 4.25 μB per formula unit. The calculated formation energy comes out at -0.240 eV per atom. As for the volume: 10.78 Å³/atom.

Cell and atoms, written as POSCAR:
```
BeAlFe2
1.0
3.514 0.000 0.000
0.000 3.514 0.000
-1.757 -1.757 3.492
Fe Al Be
2 1 1
Direct
0.750 0.250 0.500 Fe
0.250 0.750 0.500 Fe
0.500 0.500 0.000 Al
0.000 0.000 0.000 Be
```

---

## GeSbTe2Ir (meta-GGA SCAN)

Data for GeSbTe2Ir at its PBEsol-relaxed geometry.

## Properties
The total magnetization comes out at 0.00 μB per formula unit. As for the volume: 27.85 Å³/atom. The uncorrected formation energy comes out at 3.08 eV/f.u.

Cell and atoms, written as POSCAR:
```
GeSbTe2Ir
1.0
4.890 0.000 0.000
0.000 5.336 0.000
0.000 0.000 5.336
Ge Sb Ir Te
1 1 1 2
Direct
0.500 0.500 0.500 Ge
0.500 0.000 0.000 Sb
0.000 0.000 0.000 Ir
0.000 0.000 0.500 Te
0.000 0.500 0.000 Te
```

---

## KAsIO2 (meta-GGA SCAN)

Data for KAsIO2 at its PBEsol-relaxed geometry.

## Properties
The total magnetization comes out at 4.28 μB per formula unit. As for the volume: 26.86 Å³/atom. The uncorrected formation energy comes out at 3.56 eV/f.u.

Cell and atoms, written as POSCAR:
```
KAsIO2
1.0
-2.020 0.679 -3.947
-0.329 -4.434 -0.595
-5.939 0.032 3.045
I As O K
1 1 2 1
Direct
0.000 0.000 0.500 I
0.500 0.500 0.500 As
0.500 0.000 0.000 O
0.000 0.500 0.000 O
0.000 0.000 0.000 K
```

---

## NaCoOF2 (meta-GGA SCAN)

Data for NaCoOF2 at its PBEsol-relaxed geometry.

## Properties
The total magnetization comes out at 4.00 μB per formula unit. As for the volume: 12.35 Å³/atom. The uncorrected formation energy comes out at -4.04 eV/f.u.

Cell and atoms, written as POSCAR:
```
NaCoOF2
1.0
-1.823 1.817 2.905
0.052 -3.276 2.081
3.618 1.073 1.598
Na O F Co
1 1 2 1
Direct
0.000 0.000 0.000 Na
0.000 0.000 0.500 O
0.000 0.500 0.000 F
0.500 0.000 0.000 F
0.500 0.500 0.500 Co
```

---

## HgPd3Br (meta-GGA SCAN)

Data for HgPd3Br at its PBEsol-relaxed geometry.

## Properties
The total magnetization comes out at 0.00 μB per formula unit. As for the volume: 24.73 Å³/atom. The uncorrected formation energy comes out at 4.38 eV/f.u.

Cell and atoms, written as POSCAR:
```
HgPd3Br
1.0
-4.035 -1.692 2.383
-2.317 -0.623 -4.366
1.781 -4.644 -0.283
Pd Br Hg
3 1 1
Direct
0.500 0.000 0.000 Pd
0.000 0.500 0.000 Pd
0.000 0.000 0.500 Pd
0.500 0.500 0.500 Br
0.000 0.000 0.000 Hg
```

---

## CdCoCuRh2 (meta-GGA SCAN)

Data for CdCoCuRh2 at its PBEsol-relaxed geometry.

## Properties
The total magnetization comes out at 3.64 μB per formula unit. The calculated formation energy comes out at 1.843 eV per atom. As for the volume: 20.81 Å³/atom.

Cell and atoms, written as POSCAR:
```
CdCoCuRh2
1.0
-2.304 0.052 -3.907
2.892 -3.393 -1.750
-2.943 -3.380 1.690
Rh Cd Co Cu
2 1 1 1
Direct
0.000 0.000 0.500 Rh
0.000 0.500 0.000 Rh
0.000 0.000 0.000 Cd
0.500 0.000 0.000 Co
0.500 0.500 0.500 Cu
```

---

## CaMgCd (meta-GGA SCAN)

Data for CaMgCd at its PBEsol-relaxed geometry.

## Properties
The total magnetization comes out at 0.02 μB per formula unit. The calculated formation energy comes out at -0.268 eV per atom. As for the volume: 26.22 Å³/atom.

Cell and atoms, written as POSCAR:
```
CaMgCd
1.0
-2.639 0.956 2.253
2.218 -2.581 3.695
1.140 4.839 -0.719
Ca Mg Cd
1 1 1
Direct
0.000 0.000 0.000 Ca
0.500 0.667 0.333 Mg
0.500 0.333 0.667 Cd
```